Computed, not measured: a relaxed structure of P2CSI at the PBE level of DFT.

a b c (Å): 4.4588 4.4588 4.0526
angles (deg): 90.00 90.00 90.00
Closest atoms and distances in Å follow each position.
Fractional coordinates of all 5 atoms:
P: 0.0000 0.5000 0.0000  2 C 2.23
P: 0.5000 0.0000 0.0000  2 C 2.23
C: 0.0000 0.0000 0.0000  2 S 2.03, 4 P 2.23
S: 0.0000 0.0000 0.5000  2 C 2.03
I: 0.5000 0.5000 0.5000  8 P 3.01, 4 S 3.15

## Properties
raw total energy	-3.7397	eV per atom
DOS(E_F)	2.63	states/eV/f.u.
polymorph energy (0 for the lowest one)	0.0000	eV/atom
ΔE_f (raw)	1.404	eV/atom
total moment	0.000	μB per formula unit